Tm2Zn PBE-GGA optimized geometry; uncorrected energy = -3.565 eV/atom
1.0
-3.480 3.480 3.168
3.480 -3.480 3.168
3.480 3.480 -3.168
Tm Zn
4 2
Cartesian
4.689 1.209 0.000 Tm
1.209 2.270 0.000 Tm
2.270 1.209 3.168 Tm
-1.209 2.270 3.168 Tm
0.000 0.000 1.584 Zn
0.000 0.000 4.752 Zn


BeNiAs2 PBE-GGA optimized geometry; uncorrected energy = -4.766 eV/atom
1.0
2.813 0.000 0.000
0.000 3.037 0.000
0.000 0.000 7.360
Be Ni As
1 1 2
Cartesian
0.000 0.000 0.000 Be
1.406 1.519 1.049 Ni
0.000 0.000 2.493 As
1.406 1.519 5.911 As